Compound: La2Sc2Te
Source: the Alexandria database
Functional: GGA-PBE
Structure: optimized geometry

Calculated values
As for the final energy: -54.650 eV/cell. The value obtained for the magnetization is 0.01 Bohr magnetons per cell. For the formation energy (no corrections), the calculation gives -0.333 eV per atom.

Geometry as CIF:
```
data_La2Sc2Te
_chemical_formula_sum 'La4 Sc4 Te2'
_symmetry_space_group_name_H-M 'P 4/m b m'
_symmetry_Int_Tables_number 127
_symmetry_space_group_name_Hall '-P 4 2ab'
_cell_length_a 7.6547
_cell_length_b 7.6547
_cell_length_c 5.1527
_cell_angle_alpha 90.00
_cell_angle_beta 90.00
_cell_angle_gamma 90.00
loop_
_atom_site_label
_atom_site_fract_x
_atom_site_fract_y
_atom_site_fract_z
La1 0.1499 0.3501 0.0000
Sc1 0.1444 0.6444 0.5000
Te1 0.0000 0.0000 0.5000
```